A plane-wave DFT calculation with GGA-PBE was carried out for crystalline Zn2Co2Au at its relaxed geometry.

Cell: 7.127 7.127 2.721 Å, 90.00 90.00 90.00°
Space group P4/mbm (No. 127)
Inequivalent atoms, fractional coordinates:
Zn  0.180  0.320  0.000
Co  0.113  0.613  0.500
Au  0.000  0.000  0.500

Calculated values
Total energy in eV/f.u.: -19.567
ΔE_f in eV/atom: 0.094
Energy relative to the lowest polymorph listed for this composition in meV per atom: 0

=====

A plane-wave DFT calculation with GGA-PBE was carried out for crystalline ZrReTc at its relaxed geometry.

Cell: 3.234 4.617 13.480 Å, 90.00 90.00 90.00°
Space group Fmm2 (No. 42)
Inequivalent atoms, fractional coordinates:
Zr  0.000  0.000  0.000
Re  0.000  0.000  0.674
Tc  0.000  0.000  0.327

Calculated values
Total energy in eV/f.u.: -31.149
ΔE_f in eV/atom: 0.071
Energy relative to the lowest polymorph listed for this composition in meV per atom: 378

=====

A plane-wave DFT calculation with GGA-PBE was carried out for crystalline LiTbPrTe3 at its relaxed geometry.

Cell: 9.051 4.305 9.564 Å, 90.00 103.64 90.00°
Space group P2_1/m (No. 11)
Inequivalent atoms, fractional coordinates:
Li  0.085  0.250  0.086
Tb  0.332  0.750  0.341
Pr  0.190  0.250  0.733
Te  0.092  0.250  0.375
Te  0.231  0.750  0.003
Te  0.433  0.750  0.677

Calculated values
Formation energy from raw total energies in eV per atom: -1.297
Total energy in eV/f.u.: -28.528

=====

A plane-wave DFT calculation with GGA-PBE was carried out for crystalline Nd6Tm2Mg at its relaxed geometry.

Cell: 12.181 5.662 8.818 Å, 90.00 101.75 90.00°
Space group C2/m (No. 12)
Inequivalent atoms, fractional coordinates:
Nd  0.083  0.000  0.370
Nd  0.112  0.500  0.668
Nd  0.149  0.000  0.998
Tm  0.205  0.500  0.293
Mg  0.000  0.500  0.000

Calculated values
Total energy in eV/f.u.: -38.789
ΔE_f in eV/atom: 0.040
Energy relative to the lowest polymorph listed for this composition in meV per atom: 15

=====

A plane-wave DFT calculation with GGA-PBE was carried out for crystalline NaCd4Ag7 at its relaxed geometry.

Cell: 4.603 5.889 9.577 Å, 102.11 103.64 90.19°
Space group P-1 (No. 2)
Inequivalent atoms, fractional coordinates:
Na  0.000  0.000  0.000
Cd  0.147  0.738  0.300
Cd  0.403  0.653  0.789
Ag  0.000  0.500  0.000
Ag  0.232  0.356  0.464
Ag  0.299  0.956  0.597
Ag  0.447  0.219  0.892

Calculated values
Total energy in eV/f.u.: -24.959
ΔE_f in eV/atom: -0.002
Energy relative to the lowest polymorph listed for this composition in meV per atom: 0

=====

A plane-wave DFT calculation with GGA-PBE was carried out for crystalline TmInGa2S6 at its relaxed geometry.

Cell: 12.326 11.594 6.576 Å, 90.00 101.90 90.00°
Space group C2/c (No. 15)
Inequivalent atoms, fractional coordinates:
Tm  0.000  0.097  0.250
In  0.000  0.281  0.750
Ga  0.189  0.414  0.288
S  0.117  0.090  0.643
S  0.128  0.251  0.106
S  0.139  0.419  0.609

Calculated values
Formation energy from raw total energies in eV per atom: -0.943
Total energy in eV/f.u.: -47.454

=====

A plane-wave DFT calculation with GGA-PBE was carried out for crystalline NdN2F3 at its relaxed geometry.

Cell: 8.322 7.964 7.189 Å, 90.00 101.96 90.00°
Space group C2/c (No. 15)
Inequivalent atoms, fractional coordinates:
Nd  0.000  0.083  0.250
N  0.136  0.332  0.638
F  0.000  0.350  0.250
F  0.151  0.051  0.010

Calculated values
Formation energy from raw total energies in eV per atom: -0.729
Total energy in eV/f.u.: -31.404

=====

A plane-wave DFT calculation with GGA-PBE was carried out for crystalline AcAgRu2O8 at its relaxed geometry.

Cell: 6.1688 6.1688 6.9180 Å, 90.00 90.00 120.00°
Space group P-3m1 (No. 164)
Inequivalent atoms, fractional coordinates:
Ac  0.0000  0.0000  0.0000
Ag  0.0000  0.0000  0.5000
Ru  0.3333  0.6667  0.3282
O  0.1734  0.3467  0.2381
O  0.3333  0.6667  0.5791

Calculated values
Formation energy from raw total energies in eV per atom: -1.168
Total energy in eV/f.u.: -79.191

=====

A plane-wave DFT calculation with GGA-PBE was carried out for crystalline PrHoEr2S4 at its relaxed geometry.

Cell: 6.825 3.878 6.864 Å, 90.00 108.76 90.00°
Space group P2/m (No. 10)
Inequivalent atoms, fractional coordinates:
Pr  0.000  0.000  0.000
Ho  0.500  0.500  0.000
Er  0.000  0.500  0.500
Er  0.500  0.000  0.500
S  0.256  0.000  0.741
S  0.264  0.500  0.266

Calculated values
Formation energy from raw total energies in eV per atom: -1.967
Total energy in eV/f.u.: -50.729

=====

A plane-wave DFT calculation with GGA-PBE was carried out for crystalline AlAuCl at its relaxed geometry.

Cell: 3.195 3.195 12.132 Å, 90.00 90.00 90.00°
Space group I4mm (No. 107)
Inequivalent atoms, fractional coordinates:
Al  0.000  0.000  0.000
Au  0.000  0.000  0.614
Cl  0.000  0.000  0.357

Calculated values
Formation energy from raw total energies in eV per atom: -0.262
Total energy in eV/f.u.: -9.651
Energy relative to the lowest polymorph listed for this composition in meV per atom: 212

=====

A plane-wave DFT calculation with GGA-PBE was carried out for crystalline ScAsPd6 at its relaxed geometry.

Cell: 3.976 3.976 7.996 Å, 90.00 90.00 90.00°
Space group P4/mmm (No. 123)
Inequivalent atoms, fractional coordinates:
Sc  0.000  0.000  0.000
As  0.000  0.000  0.500
Pd  0.000  0.500  0.254
Pd  0.500  0.500  0.000
Pd  0.500  0.500  0.500

Calculated values
Total energy in eV/f.u.: -46.335
ΔE_f in eV/atom: -0.525
Energy relative to the lowest polymorph listed for this composition in meV per atom: 0

=====

A plane-wave DFT calculation with GGA-PBE was carried out for crystalline SiHgAu3 at its relaxed geometry.

Cell: 7.070 12.259 5.366 Å, 90.00 114.65 90.00°
Space group Cc (No. 9)
Inequivalent atoms, fractional coordinates:
Si  0.000  0.157  0.000
Hg  0.012  0.457  0.382
Au  0.007  0.035  0.616
Au  0.209  0.223  0.484
Au  0.328  0.246  0.042

Calculated values
Formation energy from raw total energies in eV per atom: -0.013
Total energy in eV/f.u.: -15.622
Energy relative to the lowest polymorph listed for this composition in meV per atom: 0